Model w:
TlSnN2: relaxed, PBE.

```
data_TlSnN2
_chemical_formula_sum 'Tl4 Sn4 N8'
_space_group_name_H-M_alt 'F m -3 m'
_space_group_IT_number 225
_space_group_name_Hall '-F 4 2 3'
_cell_length_a 6.2018
_cell_length_b 6.2018
_cell_length_c 6.2018
_cell_angle_alpha 90.00
_cell_angle_beta 90.00
_cell_angle_gamma 90.00
loop_
_atom_site_label
_atom_site_type_symbol
_atom_site_fract_x
_atom_site_fract_y
_atom_site_fract_z
Tl1 Tl 0.0000 0.0000 0.0000
Sn1 Sn 0.0000 0.0000 0.5000
N1 N 0.2500 0.2500 0.2500
```

Total magnetization (Bohr magnetons per cell): 1.81

Model x:
TlSnN2: relaxed, PBE.

```
data_TlSnN2
_chemical_formula_sum 'Tl3 Sn3 N6'
_space_group_name_H-M_alt 'R -3 m'
_space_group_IT_number 166
_space_group_name_Hall '-R 3 2"'
_cell_length_a 3.3783
_cell_length_b 3.3783
_cell_length_c 19.7369
_cell_angle_alpha 90.00
_cell_angle_beta 90.00
_cell_angle_gamma 120.00
loop_
_atom_site_label
_atom_site_type_symbol
_atom_site_fract_x
_atom_site_fract_y
_atom_site_fract_z
Tl1 Tl 0.0000 0.0000 0.0000
Sn1 Sn 0.0000 0.0000 0.5000
N1 N 0.0000 0.0000 0.1121
```

Total magnetization (Bohr magnetons per cell): 0.00

Model y:
TlSnN2: relaxed, PBE.

```
data_TlSnN2
_chemical_formula_sum 'Tl4 Sn4 N8'
_space_group_name_H-M_alt 'I -4 2 d'
_space_group_IT_number 122
_space_group_name_Hall 'I -4 2bw'
_cell_length_a 5.3367
_cell_length_b 5.3367
_cell_length_c 10.0645
_cell_angle_alpha 90.00
_cell_angle_beta 90.00
_cell_angle_gamma 90.00
loop_
_atom_site_label
_atom_site_type_symbol
_atom_site_fract_x
_atom_site_fract_y
_atom_site_fract_z
Tl1 Tl 0.0000 0.0000 0.0000
Sn1 Sn 0.0000 0.0000 0.5000
N1 N 0.2004 0.2500 0.6250
```

Total magnetization (Bohr magnetons per cell): 0.00

Model z:
TlSnN2: relaxed, PBE.

```
data_TlSnN2
_chemical_formula_sum 'Tl2 Sn2 N4'
_space_group_name_H-M_alt 'P -1'
_space_group_IT_number 2
_space_group_name_Hall '-P 1'
_cell_length_a 4.9959
_cell_length_b 5.9322
_cell_length_c 9.9473
_cell_angle_alpha 89.74
_cell_angle_beta 75.62
_cell_angle_gamma 89.00
loop_
_atom_site_label
_atom_site_type_symbol
_atom_site_fract_x
_atom_site_fract_y
_atom_site_fract_z
Tl1 Tl 0.0748 0.2500 0.3488
Sn1 Sn 0.5000 0.0000 0.5000
Sn2 Sn 0.5000 0.5000 0.5000
N1 N 0.1181 0.7489 0.0395
N2 N 0.3403 0.7516 0.0408
```

Total magnetization (Bohr magnetons per cell): 0.00

Here is how they stack up, most stable first: model z, model y, model x, model w.